Entry 1:
Here is crystalline NaAl2PO6 at its relaxed geometry from Alexandria via LeMat-Bulk. Energies are from PBE.

Cell and atoms, written as POSCAR:
```
NaAl2PO6
1.0
4.277 -5.394 0.000
4.277 5.394 0.000
-2.332 0.000 5.190
Na Al P O
2 4 2 12
direct
0.100 0.900 0.750 Na
0.900 0.100 0.250 Na
0.293 0.451 0.846 Al
0.451 0.293 0.346 Al
0.549 0.707 0.654 Al
0.707 0.549 0.154 Al
0.192 0.808 0.250 P
0.808 0.192 0.750 P
0.029 0.237 0.714 O
0.185 0.649 0.000 O
0.237 0.029 0.214 O
0.322 0.430 0.536 O
0.351 0.815 0.500 O
0.430 0.322 0.036 O
0.570 0.678 0.964 O
0.649 0.185 0.500 O
0.678 0.570 0.464 O
0.763 0.971 0.786 O
0.815 0.351 0.000 O
0.971 0.763 0.286 O
```

The value obtained for the size of the total moment is 0.000 μB/cell. The calculation puts the uncorrected formation energy at -2.630 eV/atom.

Entry 2:
Here is crystalline Rb3CePu3Se8 at its relaxed geometry from Alexandria via LeMat-Bulk. Energies are from PBE.

Cell and atoms, written as POSCAR:
```
Rb3CePu3Se8
1.0
7.410 -4.278 0.000
7.410 4.278 0.000
-4.947 0.000 8.068
Rb Ce Pu Se
3 1 3 8
direct
0.000 0.000 0.000 Rb
0.000 0.500 0.000 Rb
0.500 0.000 0.000 Rb
0.000 0.000 0.500 Ce
0.000 0.500 0.500 Pu
0.500 0.000 0.500 Pu
0.500 0.500 0.500 Pu
0.231 0.231 0.691 Se
0.231 0.729 0.691 Se
0.269 0.269 0.308 Se
0.271 0.769 0.309 Se
0.729 0.231 0.691 Se
0.731 0.731 0.692 Se
0.769 0.271 0.309 Se
0.769 0.769 0.309 Se
```

The value obtained for the size of the total moment is 15.002 μB/cell. The calculation puts the uncorrected formation energy at -1.499 eV/atom.